The following is a PBE calculation of a relaxed structure of SbTeOs, from Alexandria via LeMat-Bulk.

Values from the calculation:
Energy relative to the lowest polymorph listed for this composition in meV per atom: 737.2
Crystal system: orthorhombic

Structure (POSCAR):
```
SbTeOs
1.0
0.000 2.743 7.974
1.585 0.000 7.974
1.585 2.743 0.000
Sb Te Os
1 1 1
direct
0.000 0.000 0.000
0.725 0.725 0.275
0.360 0.360 0.640
```


The following is a PBE calculation of a relaxed structure of SbTe3Os, from Alexandria via LeMat-Bulk.

Values from the calculation:
Energy relative to the lowest polymorph listed for this composition in meV per atom: 0.0
Crystal system: cubic

Structure (POSCAR):
```
SbTe3Os
1.0
5.228 0.000 0.000
0.000 5.228 0.000
0.000 0.000 5.228
Sb Te Os
1 3 1
direct
0.000 0.000 0.000
0.000 0.500 0.500
0.500 0.000 0.500
0.500 0.500 0.000
0.500 0.500 0.500
```


The following is a PBE calculation of a relaxed structure of Th8SbTe4Os3, from Alexandria via LeMat-Bulk.

Values from the calculation:
Crystal system: trigonal
Raw total energy in eV per cell: -123.3

Structure (POSCAR):
```
Th8SbTe4Os3
1.0
4.309 2.488 7.585
-4.309 2.488 7.585
0.000 -4.975 7.585
Th Sb Te Os
8 1 4 3
direct
0.211 0.748 0.748
0.233 0.233 0.233
0.252 0.252 0.789
0.252 0.789 0.252
0.748 0.211 0.748
0.748 0.748 0.211
0.767 0.767 0.767
0.789 0.252 0.252
0.500 0.500 0.500
0.000 0.000 0.000
0.000 0.500 0.500
0.500 0.000 0.500
0.500 0.500 0.000
0.000 0.000 0.500
0.000 0.500 0.000
0.500 0.000 0.000
```


The following is a PBE calculation of a relaxed structure of Th4SbTe2Os, from Alexandria via LeMat-Bulk.

Values from the calculation:
Crystal system: monoclinic
Raw total energy in eV per cell: -58.5

Structure (POSCAR):
```
Th4SbTe2Os
1.0
7.862 0.000 0.000
0.000 4.263 0.000
-2.401 0.000 7.487
Th Sb Te Os
4 1 2 1
direct
0.208 0.000 0.204
0.232 0.500 0.775
0.768 0.500 0.225
0.792 0.000 0.796
0.500 0.000 0.000
0.000 0.000 0.500
0.500 0.500 0.500
0.000 0.500 0.000
```


The following is a PBE calculation of a relaxed structure of TiSb2TeOs, from Alexandria via LeMat-Bulk.

Values from the calculation:
Energy relative to the lowest polymorph listed for this composition in meV per atom: 372.4
Crystal system: tetragonal

Structure (POSCAR):
```
TiSb2TeOs
1.0
5.184 0.000 0.000
0.000 5.184 0.000
0.000 0.000 5.121
Ti Sb Te Os
1 2 1 1
direct
0.000 0.000 0.000
0.000 0.500 0.000
0.500 0.000 0.000
0.000 0.000 0.500
0.500 0.500 0.500
```


The following is a PBE calculation of a relaxed structure of TiSb2TeOs, from Alexandria via LeMat-Bulk.

Values from the calculation:
Energy relative to the lowest polymorph listed for this composition in meV per atom: 0.0
Crystal system: tetragonal

Structure (POSCAR):
```
TiSb2TeOs
1.0
4.988 0.000 0.000
0.000 4.988 0.000
0.000 0.000 5.755
Ti Sb Te Os
1 2 1 1
direct
0.000 0.000 0.000
0.000 0.500 0.500
0.500 0.000 0.500
0.500 0.500 0.000
0.500 0.500 0.500
```


The following is a PBE calculation of a relaxed structure of TlSb2TeOs, from Alexandria via LeMat-Bulk.

Values from the calculation:
Energy relative to the lowest polymorph listed for this composition in meV per atom: 0.0
Crystal system: tetragonal

Structure (POSCAR):
```
TlSb2TeOs
1.0
5.053 0.000 0.000
0.000 5.053 0.000
0.000 0.000 6.006
Tl Sb Te Os
1 2 1 1
direct
0.000 0.000 0.000
0.000 0.500 0.500
0.500 0.000 0.500
0.500 0.500 0.000
0.500 0.500 0.500
```


The following is a PBE calculation of a relaxed structure of TlSb2TeOs, from Alexandria via LeMat-Bulk.

Values from the calculation:
Energy relative to the lowest polymorph listed for this composition in meV per atom: 1548.9
Crystal system: tetragonal

Structure (POSCAR):
```
TlSb2TeOs
1.0
5.604 0.000 0.000
0.000 5.604 0.000
0.000 0.000 5.635
Tl Sb Te Os
1 2 1 1
direct
0.000 0.000 0.000
0.000 0.500 0.000
0.500 0.000 0.000
0.000 0.000 0.500
0.500 0.500 0.500
```


| no. | magnetic moment (μB/cell) | N(E_F) (states/eV/f.u.) |
| --- | --- | --- |
| 1 | 0.00 | 2.8 |
| 2 | 0.00 | 6.7 |
| 3 | 0.00 | 10.8 |
| 4 | 0.00 | 6.5 |
| 5 | 2.59 | 5.4 |
| 6 | 2.26 | 6.3 |
| 7 | 0.00 | 4.3 |
| 8 | 2.95 | 7.4 |